Zn5Si | GGA-PBE | optimized geometry

The magnetization is 0.0 μB/cell. Its formation energy without anion corrections is 249 meV per atom. Its volume is 15.95 A^3/atom. The total energy comes out at -1.716 eV per atom. The value obtained for the polymorph energy (0 for the lowest one) is 0.82 eV per formula unit.

It has space group F-43m (No. 216), with a = 7.260 Å, b = 7.260 Å, c = 7.260 Å, α = 90.00°, β = 90.00° and γ = 90.00°. Symmetry generates all atoms from Zn at (0.000, 0.000, 0.000), Zn at (0.125, 0.125, 0.625) and Si at (0.250, 0.250, 0.250).